Li5V5Cr2O12 after structural relaxation. Source: Alexandria, functional PBE with a Hubbard U.

The structure in extended XYZ format:
```
24
Lattice="2.600 -4.537 0.000 2.600 4.537 0.000 -2.017 0.000 9.850" Properties=species:S:1:pos:R:3 pbc="T T T"
Li 0.000 0.000 0.000
Li 0.823 1.490 2.279
Li -0.320 -0.024 7.586
Li 2.360 1.490 7.571
Li 3.503 -0.024 2.264
V 2.600 1.490 0.000
V 0.811 -1.462 2.418
V 1.591 0.063 4.925
V 1.591 -2.988 4.925
V 2.372 -1.462 7.432
Cr 1.591 3.072 4.925
Cr 2.600 -1.507 0.000
O 1.690 2.936 1.170
O -0.137 -0.005 3.799
O 0.716 1.618 6.029
O 1.493 2.936 8.680
O 1.791 -0.047 1.164
O 2.467 1.618 3.821
O 0.716 -1.465 6.010
O 1.392 -0.047 8.686
O 1.685 -2.928 1.174
O 2.466 -1.465 3.840
O 3.320 -0.005 6.051
O 1.498 -2.928 8.676
```

Properties
**Total magnetization**: 18.000 μB per cell
**Energy**: -7.041 eV/atom